# 1
Here is a geometry-optimized K2PmUSe4 structure from Alexandria via LeMat-Bulk. Energies are from PBE.

a b c (Å): 7.403 4.279 8.102
angles (deg): 90.00 107.76 90.00
Element x y z (fractional)
K1 0.000 0.000 0.000
K2 0.500 0.500 0.000
Pm1 0.000 0.500 0.500
U1 0.500 0.000 0.500
Se1 0.241 0.000 0.710
Se2 0.268 0.500 0.292
Se3 0.732 0.500 0.708
Se4 0.759 0.000 0.290

Space-group type: P2/m
Energy relative to the elements, uncorrected in eV per atom: -1.4830

# 2
Here is a geometry-optimized La5Pm12Pr2 structure from Alexandria via LeMat-Bulk. Energies are from PBE.

a b c (Å): 10.317 10.317 8.998
angles (deg): 115.24 115.24 54.47
Element x y z (fractional)
La1 0.000 0.000 0.000
La2 0.233 0.233 0.811
La3 0.278 0.278 0.263
La4 0.722 0.722 0.737
La5 0.767 0.767 0.189
Pm1 0.029 0.672 0.579
Pm2 0.045 0.045 0.689
Pm3 0.176 0.592 0.049
Pm4 0.328 0.971 0.421
Pm5 0.408 0.824 0.951
Pm6 0.416 0.416 0.755
Pm7 0.584 0.584 0.245
Pm8 0.592 0.176 0.049
Pm9 0.672 0.029 0.579
Pm10 0.824 0.408 0.951
Pm11 0.955 0.955 0.311
Pm12 0.971 0.328 0.421
Pr1 0.331 0.669 0.500
Pr2 0.669 0.331 0.500

Space-group type: C2/m
Formation energy in meV/atom: 187
Energy above the lowest structure with this stoichiometry in eV per atom: 0.080

# 3
Here is a geometry-optimized RbGe2HO structure from Alexandria via LeMat-Bulk. Energies are from PBE.

a b c (Å): 5.853 5.853 3.975
angles (deg): 90.00 90.00 90.00
Element x y z (fractional)
Rb1 0.000 0.000 0.000
Ge1 0.000 0.500 0.000
Ge2 0.500 0.000 0.000
H1 0.000 0.000 0.500
O1 0.500 0.500 0.500

Space-group type: P4/mmm
Total DFT energy (no corrections) in eV per atom: -1.9188

# 4
Here is a geometry-optimized AuO structure from Alexandria via LeMat-Bulk. Energies are from PBE.

a b c (Å): 9.622 9.622 2.863
angles (deg): 90.00 90.00 120.00
Element x y z (fractional)
Au1 0.095 0.725 0.250
Au2 0.275 0.370 0.250
Au3 0.370 0.095 0.750
Au4 0.630 0.905 0.250
Au5 0.725 0.630 0.750
Au6 0.905 0.275 0.750
O1 0.091 0.416 0.250
O2 0.324 0.909 0.250
O3 0.416 0.324 0.750
O4 0.584 0.676 0.250
O5 0.676 0.091 0.750
O6 0.909 0.584 0.750

Space-group type: P6_3/m
Energy relative to the elements, uncorrected in eV per atom: 0.3656

# 5
Here is a geometry-optimized OsBr2Cl structure from Alexandria via LeMat-Bulk. Energies are from PBE.

a b c (Å): 4.234 4.234 4.447
angles (deg): 90.00 90.00 90.00
Element x y z (fractional)
Os1 0.000 0.000 0.000
Br1 0.000 0.500 0.500
Br2 0.500 0.000 0.500
Cl1 0.500 0.500 0.000

Space-group type: P4/mmm
Energy relative to the elements, uncorrected in eV per atom: 1.5749
Energy above the lowest structure with this stoichiometry in eV per atom: 1.570

# 6
Here is a geometry-optimized AlZnGe2Mo structure from Alexandria via LeMat-Bulk. Energies are from PBE.

a b c (Å): 4.871 4.871 4.964
angles (deg): 90.00 90.00 90.00
Element x y z (fractional)
Al1 0.000 0.000 0.000
Zn1 0.500 0.500 0.000
Ge1 0.000 0.500 0.500
Ge2 0.500 0.000 0.500
Mo1 0.000 0.000 0.500

Space-group type: P4/mmm
Formation energy in meV/atom: 442

# 7
Here is a geometry-optimized Rb3V2Br7 structure from Alexandria via LeMat-Bulk. Energies are from PBE.

a b c (Å): 14.364 14.364 14.364
angles (deg): 158.67 158.67 30.34
Element x y z (fractional)
Rb1 0.000 0.000 0.000
Rb2 0.180 0.180 0.000
Rb3 0.820 0.820 0.000
V1 0.401 0.401 0.000
V2 0.599 0.599 0.000
Br1 0.093 0.593 0.500
Br2 0.307 0.307 0.000
Br3 0.407 0.907 0.500
Br4 0.500 0.500 0.000
Br5 0.593 0.093 0.500
Br6 0.693 0.693 0.000
Br7 0.907 0.407 0.500

Space-group type: I4/mmm
Energy relative to the elements, uncorrected in eV per atom: -1.2325

# 8
Here is a geometry-optimized CaPOs2 structure from Alexandria via LeMat-Bulk. Energies are from PBE.

a b c (Å): 2.842 4.621 5.033
angles (deg): 90.00 90.00 90.00
Element x y z (fractional)
Ca1 0.000 0.000 0.000
P1 0.500 0.500 0.000
Os1 0.000 0.500 0.500
Os2 0.500 0.000 0.500

Space-group type: Pmmm
Formation energy in meV/atom: 541

# 9
Here is a geometry-optimized Ni4Hg structure from Alexandria via LeMat-Bulk. Energies are from PBE.

a b c (Å): 4.689 4.689 4.689
angles (deg): 90.00 90.00 90.00
Element x y z (fractional)
Ni1 0.000 0.000 0.000
Ni2 0.000 0.500 0.500
Ni3 0.500 0.000 0.500
Ni4 0.500 0.500 0.000
Hg1 0.500 0.500 0.500

Space-group type: Pm-3m
Formation energy in meV/atom: 1716
Energy above the lowest structure with this stoichiometry in eV per atom: 1.388

# 10
Here is a geometry-optimized Nd2FeGe3 structure from Alexandria via LeMat-Bulk. Energies are from PBE.

a b c (Å): 8.452 8.447 5.974
angles (deg): 69.35 69.25 41.40
Element x y z (fractional)
Nd1 0.246 0.754 0.754
Nd2 0.250 0.250 0.250
Nd3 0.750 0.750 0.750
Nd4 0.754 0.246 0.246
Fe1 0.334 0.334 0.666
Fe2 0.666 0.666 0.334
Ge1 0.174 0.174 0.826
Ge2 0.176 0.651 0.349
Ge3 0.349 0.824 0.176
Ge4 0.651 0.176 0.824
Ge5 0.824 0.349 0.651
Ge6 0.826 0.826 0.174

Space-group type: Fmmm
Formation energy in meV/atom: -585

# 11
Here is a geometry-optimized KCa2P structure from Alexandria via LeMat-Bulk. Energies are from PBE.

a b c (Å): 5.629 5.629 5.629
angles (deg): 60.00 60.00 60.00
Element x y z (fractional)
K1 0.000 0.000 0.000
Ca1 0.250 0.250 0.250
Ca2 0.500 0.500 0.500
P1 0.750 0.750 0.750

Space-group type: F-43m
Formation energy in meV/atom: 87

# 12
Here is a geometry-optimized Ba5Hg3I12 structure from Alexandria via LeMat-Bulk. Energies are from PBE.

a b c (Å): 18.002 18.002 18.002
angles (deg): 109.47 109.47 109.47
Element x y z (fractional)
Ba1 0.000 0.000 0.000
Ba2 0.000 0.000 0.500
Ba3 0.000 0.500 0.000
Ba4 0.000 0.500 0.500
Ba5 0.125 0.750 0.875
Ba6 0.125 0.875 0.250
Ba7 0.250 0.125 0.875
Ba8 0.250 0.625 0.375
Ba9 0.375 0.250 0.625
Ba10 0.375 0.625 0.750
Ba11 0.500 0.000 0.000
Ba12 0.500 0.000 0.500
Ba13 0.500 0.500 0.000
Ba14 0.500 0.500 0.500
Ba15 0.625 0.375 0.250
Ba16 0.625 0.750 0.375
Ba17 0.750 0.375 0.625
Ba18 0.750 0.875 0.125
Ba19 0.875 0.125 0.750
Ba20 0.875 0.250 0.125
Hg1 0.125 0.250 0.375
Hg2 0.125 0.375 0.750
Hg3 0.250 0.375 0.125
Hg4 0.250 0.875 0.625
Hg5 0.375 0.125 0.250
Hg6 0.375 0.750 0.125
Hg7 0.625 0.250 0.875
Hg8 0.625 0.875 0.750
Hg9 0.750 0.125 0.375
Hg10 0.750 0.625 0.875
Hg11 0.875 0.625 0.250
Hg12 0.875 0.750 0.625
I1 0.047 0.222 0.120
I2 0.047 0.325 0.927
I3 0.073 0.620 0.399
I4 0.073 0.953 0.675
I5 0.101 0.722 0.675
I6 0.101 0.880 0.427
I7 0.120 0.047 0.222
I8 0.120 0.573 0.899
I9 0.175 0.222 0.601
I10 0.175 0.453 0.573
I11 0.222 0.120 0.047
I12 0.222 0.601 0.175
I13 0.278 0.325 0.899
I14 0.278 0.453 0.380
I15 0.325 0.899 0.278
I16 0.325 0.927 0.047
I17 0.380 0.278 0.453
I18 0.380 0.601 0.927
I19 0.399 0.073 0.620
I20 0.399 0.825 0.778
I21 0.427 0.101 0.880
I22 0.427 0.825 0.547
I23 0.453 0.380 0.278
I24 0.453 0.573 0.175
I25 0.547 0.427 0.825
I26 0.547 0.620 0.722
I27 0.573 0.175 0.453
I28 0.573 0.899 0.120
I29 0.601 0.175 0.222
I30 0.601 0.927 0.380
I31 0.620 0.399 0.073
I32 0.620 0.722 0.547
I33 0.675 0.073 0.953
I34 0.675 0.101 0.722
I35 0.722 0.547 0.620
I36 0.722 0.675 0.101
I37 0.778 0.399 0.825
I38 0.778 0.880 0.953
I39 0.825 0.547 0.427
I40 0.825 0.778 0.399
I41 0.880 0.427 0.101
I42 0.880 0.953 0.778
I43 0.899 0.120 0.573
I44 0.899 0.278 0.325
I45 0.927 0.047 0.325
I46 0.927 0.380 0.601
I47 0.953 0.675 0.073
I48 0.953 0.778 0.880

Space-group type: Ia-3d
Energy relative to the elements, uncorrected in eV per atom: -1.1535